! PmHoAl6 | Alexandria | GGA-PBE | optimized geometry; values from VASP
&SYSTEM
  ibrav = 0, nat = 8, ntyp = 3
/
ATOMIC_SPECIES
Al 26.98 Al.upf
Pm 145.00 Pm.upf
Ho 164.93 Ho.upf
CELL_PARAMETERS angstrom
-3.5815 3.1310 2.8375
-3.7432 -4.0767 -0.2262
1.9605 -2.0638 4.7517
ATOMIC_POSITIONS angstrom
Al -4.6031 -1.4975 1.2488
Al 0.0897 -0.2533 3.0814
Al -1.7107 1.3206 4.5078
Al -0.3986 -3.5889 3.4571
Pm -2.6821 -1.5047 3.6815
Al -1.3841 -2.5515 1.0685
Ho 0.0000 0.0000 0.0000
Al -2.7215 0.5518 1.3625
! Symmetry: Pm-3
! Excess energy over the best structure of this formula in the dataset in meV/atom: 368.5

---

! PmHo2Al3 | Alexandria | GGA-PBE | optimized geometry; values from VASP
&SYSTEM
  ibrav = 0, nat = 6, ntyp = 3
/
ATOMIC_SPECIES
Ho 164.93 Ho.upf
Al 26.98 Al.upf
Pm 145.00 Pm.upf
CELL_PARAMETERS angstrom
3.6035 0.0000 0.0000
0.0000 3.6035 0.0000
0.0000 0.0000 10.9738
ATOMIC_POSITIONS angstrom
Ho 1.8017 1.8017 1.7800
Ho 1.8017 1.8017 9.1938
Al 0.0000 0.0000 3.5410
Pm 1.8017 1.8017 5.4869
Al 0.0000 0.0000 0.0000
Al 0.0000 0.0000 7.4328
! Symmetry: P4/mmm

---

! Pm3HoAl | Alexandria | GGA-PBE | optimized geometry; values from VASP
&SYSTEM
  ibrav = 0, nat = 10, ntyp = 3
/
ATOMIC_SPECIES
Pm 145.00 Pm.upf
Ho 164.93 Ho.upf
Al 26.98 Al.upf
CELL_PARAMETERS angstrom
-0.0082 -3.6077 -0.6412
5.7304 -2.3852 2.8771
-5.0978 -1.9969 11.3010
ATOMIC_POSITIONS angstrom
Pm 4.3136 -2.7338 4.8564
Ho 1.2011 -4.3689 3.6260
Pm -1.1950 -4.8788 6.5262
Pm -3.6892 -5.2560 8.6805
Pm 1.8195 -3.1110 7.0106
Ho -0.5767 -3.6209 9.9109
Al -1.3380 -2.6230 4.3053
Pm 1.4588 -2.0043 0.7887
Al 1.9625 -5.3668 9.2315
Pm -0.8344 -5.9855 12.7481
! Symmetry: C2/m
! Excess energy over the best structure of this formula in the dataset in meV/atom: 0.0

---

! Pm12HoAl3 | Alexandria | GGA-PBE | optimized geometry; values from VASP
&SYSTEM
  ibrav = 0, nat = 16, ntyp = 3
/
ATOMIC_SPECIES
Pm 145.00 Pm.upf
Al 26.98 Al.upf
Ho 164.93 Ho.upf
CELL_PARAMETERS angstrom
4.9025 0.0000 0.0000
0.0000 4.9025 0.0000
0.0000 0.0000 19.9742
ATOMIC_POSITIONS angstrom
Pm 0.0000 2.4513 7.5496
Pm 2.4513 0.0000 12.4245
Pm 0.0000 2.4513 12.4245
Al 0.0000 0.0000 5.1395
Ho 0.0000 0.0000 0.0000
Pm 0.0000 2.4513 2.6790
Pm 2.4513 2.4513 14.8488
Pm 2.4513 2.4513 5.1254
Pm 2.4513 2.4513 0.0000
Pm 2.4513 2.4513 9.9871
Pm 2.4513 0.0000 2.6790
Pm 0.0000 2.4513 17.2952
Al 0.0000 0.0000 9.9871
Pm 2.4513 0.0000 7.5496
Pm 2.4513 0.0000 17.2952
Al 0.0000 0.0000 14.8347
! Symmetry: P4/mmm

---

! Pm2HoAl2 | Alexandria | GGA-PBE | optimized geometry; values from VASP
&SYSTEM
  ibrav = 0, nat = 10, ntyp = 3
/
ATOMIC_SPECIES
Al 26.98 Al.upf
Ho 164.93 Ho.upf
Pm 145.00 Pm.upf
CELL_PARAMETERS angstrom
3.6423 0.0000 0.0000
0.0000 6.2254 0.6598
0.0000 0.1248 12.7001
ATOMIC_POSITIONS angstrom
Al 0.9106 2.2701 12.7259
Ho 2.7317 2.9894 10.3380
Al 2.7317 1.8281 4.9177
Ho 0.9106 3.3608 3.0219
Pm 0.9106 5.9154 11.5017
Al 0.9106 4.5221 8.4422
Al 2.7317 4.0801 0.6340
Pm 2.7317 0.4348 1.8582
Pm 0.9106 1.4789 7.4242
Pm 2.7317 4.8713 5.9357
! Symmetry: P2_1/m
! Excess energy over the best structure of this formula in the dataset in meV/atom: 162.4

---

! PmHo7Al5 | Alexandria | GGA-PBE | optimized geometry; values from VASP
&SYSTEM
  ibrav = 0, nat = 13, ntyp = 3
/
ATOMIC_SPECIES
Ho 164.93 Ho.upf
Al 26.98 Al.upf
Pm 145.00 Pm.upf
CELL_PARAMETERS angstrom
-3.5715 -1.5712 -4.6849
2.3546 -6.8159 -3.4765
-5.9166 -4.9256 2.1952
ATOMIC_POSITIONS angstrom
Ho -6.0941 -6.0135 -1.2719
Ho -4.0120 -7.8323 -6.2166
Al -5.3500 -10.1054 -4.4341
Al -4.2516 -10.8824 -7.0023
Al -6.4486 -9.1820 -1.9150
Ho -1.0395 -7.1686 -4.7379
Al -2.4589 -10.0938 -4.6508
Al -8.2413 -9.9706 -4.2665
Ho -1.7836 -3.1272 -1.5588
Ho -6.6929 -7.2196 -4.3782
Pm -3.5621 -11.6263 -1.3198
Ho -3.5683 -4.9914 -3.5403
Ho -3.5652 -8.2883 -2.4369
! Symmetry: Imm2

---

no.,energy relative to the elements (eV/f.u.)
1,-0.51
2,-2.33
3,-0.61
4,-1.85
5,-0.76
6,-2.99